A:
## SmScCuPt (PBE)

Data for a geometry-optimized SmScCuPt structure.

Structure (POSCAR):
```
SmScCuPt
1.0
3.6565 0.0000 0.0000
0.0000 4.3450 0.0000
-1.8283 0.0000 5.2762
Cu Pt Sm Sc
1 1 1 1
Cartesian
0.0000 0.0000 4.4925
1.8283 2.1725 0.8593
1.8283 2.1725 3.7640
0.0000 0.0000 1.4367
```

Values from the calculation:
Spin magnetization   0.0 μB per cell
Space group   No. 38

---

B:
## SmScCuPt (PBE)

Data for a geometry-optimized SmScCuPt structure.

Structure (POSCAR):
```
SmScCuPt
1.0
-1.1366 -4.3599 -1.8038
-1.0070 -3.6798 2.9998
-4.5447 -1.6647 0.3582
Cu Sm Pt Sc
1 1 1 1
Cartesian
-1.6721 -2.4261 0.3886
0.0000 0.0000 0.0000
-5.0162 -7.2783 1.1657
-3.3442 -4.8522 0.7771
```

Values from the calculation:
Spin magnetization   0.0 μB per cell
Space group   No. 216

---

What should be chosen as the least stable of them? Choose B.

---

A:
## ThScCuPt (PBE)

Data for a geometry-optimized ThScCuPt structure.

Structure (POSCAR):
```
ThScCuPt
1.0
-3.9710 -1.5080 2.4840
-0.1867 -4.5772 1.7967
0.2734 -0.7502 4.8555
Sc Th Pt Cu
1 1 1 1
Cartesian
0.0000 0.0000 0.0000
-1.9421 -3.4177 4.5681
-2.9132 -5.1265 6.8522
-0.9711 -1.7088 2.2841
```

Values from the calculation:
Spin magnetization   0.0 μB per cell
Space group   No. 216

---

B:
## ThScCuPt (PBE)

Data for a geometry-optimized ThScCuPt structure.

Structure (POSCAR):
```
ThScCuPt
1.0
3.6595 0.0000 0.0000
0.0000 4.4615 0.0000
-1.8298 0.0000 5.2381
Pt Th Cu Sc
1 1 1 1
Cartesian
1.8298 2.2308 0.8633
1.8298 2.2308 3.7397
0.0000 0.0000 4.4211
0.0000 0.0000 1.4521
```

Values from the calculation:
Spin magnetization   0.0 μB per cell
Space group   No. 38

---

What should be chosen as the least stable of them? Choose A.

---

A:
## Cu2Pt2Se (PBE)

Data for a geometry-optimized Cu2Pt2Se structure.

Structure (POSCAR):
```
Cu2Pt2Se
1.0
-3.2114 -4.8619 -4.7008
3.4621 -5.6522 3.4808
-2.1540 -0.2524 1.7326
Se Pt Cu
2 4 4
Cartesian
0.0000 0.0000 0.0000
0.1254 -5.2571 -0.6100
-2.5911 -6.3984 -1.9299
0.6878 -4.3682 2.4424
-0.1192 -8.1030 0.8949
-1.7840 -2.6636 -0.3824
0.6563 -2.6988 0.4228
-1.5653 -4.1242 -2.5469
1.8160 -6.3899 1.3268
-0.4056 -7.8153 -1.6429
```

Values from the calculation:
Spin magnetization   0.0 μB per cell
Space group   No. 127

---

B:
## Cu2Pt2Se (PBE)

Data for a geometry-optimized Cu2Pt2Se structure.

Structure (POSCAR):
```
Cu2Pt2Se
1.0
7.4549 0.0000 0.0000
0.0000 7.4549 0.0000
0.0000 0.0000 2.7931
Pt Cu Se
4 4 2
Cartesian
6.1443 5.0381 0.0000
1.3106 2.4169 0.0000
2.4169 6.1443 0.0000
5.0381 1.3106 0.0000
2.8346 0.8928 1.3966
4.6203 6.5621 1.3966
6.5621 2.8346 1.3966
0.8928 4.6203 1.3966
3.7275 3.7275 0.0000
0.0000 0.0000 0.0000
```

Values from the calculation:
Spin magnetization   0.0 μB per cell
Space group   No. 127

---

What should be chosen as the least stable of them? Choose A.

---

A:
## Cu3SiPt (PBE)

Data for a geometry-optimized Cu3SiPt structure.

Structure (POSCAR):
```
Cu3SiPt
1.0
-4.0457 -0.9552 -1.0518
1.3275 -1.4102 -3.8257
0.5063 -3.9352 1.6262
Cu Si Pt
3 1 1
Cartesian
0.6637 -0.7051 -1.9128
-2.0229 -0.4776 -0.5259
0.2531 -1.9676 0.8131
0.0000 0.0000 0.0000
-1.1060 -3.1503 -1.6256
```

Values from the calculation:
Spin magnetization   0.0 μB per cell
Space group   No. 221

---

B:
## Cu3SiPt (PBE)

Data for a geometry-optimized Cu3SiPt structure.

Structure (POSCAR):
```
Cu3SiPt
1.0
-4.3066 -0.5170 -1.7304
0.9072 -4.4883 -0.9169
-1.5615 -1.1817 4.2395
Si Pt Cu
1 1 3
Cartesian
-2.4804 -3.0935 0.7962
0.0000 0.0000 0.0000
0.4536 -2.2441 -0.4584
-2.1533 -0.2585 -0.8652
-0.7808 -0.5908 2.1198
```

Values from the calculation:
Spin magnetization   0.0 μB per cell
Space group   No. 221

---

What should be chosen as the least stable of them? Choose B.